No. 1
# CoHg2Au

A relaxed CoHg2Au crystal (PBE, Alexandria via LeMat-Bulk).

Output
**Offset from the most stable computed form**: 25 meV/atom
**Volume**: 18.8 Å³/atom
**ΔE_f**: 294.8 meV per atom
**VASP energy**: -9.81 eV/cell
**Fermi-level density of states**: 1.247 states/eV per atom
**Total moment**: 1.80 μB per formula unit
**ρ**: 14.5 g/cm3

Lattice parameters (Å, degrees): 3.012 3.012 8.301 90.00 90.00 90.00
Space group P4mm (No. 99)
Asymmetric unit:
Co1 0.000 0.000 0.000 x1
Hg1 0.000 0.000 0.531 x1
Hg2 0.500 0.500 0.221 x1
Au1 0.500 0.500 0.805 x1

=====

No. 2
# CoHgAu2

A relaxed CoHgAu2 crystal (PBE, Alexandria via LeMat-Bulk).

Output
**Volume**: 17.3 Å³/atom
**ΔE_f**: 298.8 meV per atom
**VASP energy**: -25.53 eV/cell
**Fermi-level density of states**: 1.361 states/eV per atom
**Total moment**: 1.64 μB per formula unit
**ρ**: 15.7 g/cm3

Lattice parameters (Å, degrees): 4.126 4.126 8.119 90.00 90.00 90.00
Space group I4/mmm (No. 139)
Asymmetric unit:
Co1 0.000 0.000 0.000 x2
Hg1 0.000 0.000 0.500 x2
Au1 0.000 0.500 0.250 x4

=====

No. 3
# InCoHg2Au

A relaxed InCoHg2Au crystal (PBE, Alexandria via LeMat-Bulk).

Output
**Volume**: 24.4 Å³/atom
**ΔE_f**: 425.8 meV per atom
**VASP energy**: -11.60 eV/cell
**Fermi-level density of states**: 0.870 states/eV per atom
**Total moment**: 0.52 μB per formula unit
**ρ**: 10.5 g/cm3

Lattice parameters (Å, degrees): 4.977 4.977 4.918 90.00 90.00 90.00
Space group P4/mmm (No. 123)
Asymmetric unit:
In1 0.000 0.000 0.000 x1
Co1 0.000 0.000 0.500 x1
Hg1 0.000 0.500 0.500 x2
Au1 0.500 0.500 0.000 x1

=====

No. 4
# La2CoHgAu

A relaxed La2CoHgAu crystal (PBE, Alexandria via LeMat-Bulk).

Output
**Offset from the most stable computed form**: 13 meV/atom
**Volume**: 26.6 Å³/atom
**ΔE_f**: -335.9 meV per atom
**VASP energy**: -22.22 eV/cell
**Fermi-level density of states**: 0.601 states/eV per atom
**Total moment**: 0.00 μB per formula unit
**ρ**: 9.2 g/cm3

Lattice parameters (Å, degrees): 5.155 5.155 4.998 90.00 90.00 90.00
Space group P4/mmm (No. 123)
Asymmetric unit:
La1 0.000 0.500 0.000 x2
Co1 0.000 0.000 0.000 x1
Hg1 0.500 0.500 0.500 x1
Au1 0.000 0.000 0.500 x1

=====

No. 5
# La2CoHgAu

A relaxed La2CoHgAu crystal (PBE, Alexandria via LeMat-Bulk).

Output
**Offset from the most stable computed form**: 0 meV/atom
**Volume**: 26.8 Å³/atom
**ΔE_f**: -349.0 meV per atom
**VASP energy**: -22.29 eV/cell
**Fermi-level density of states**: 0.717 states/eV per atom
**Total moment**: 0.00 μB per formula unit
**ρ**: 9.1 g/cm3

Lattice parameters (Å, degrees): 5.194 5.194 4.962 90.00 90.00 90.00
Space group P4/mmm (No. 123)
Asymmetric unit:
La1 0.000 0.500 0.000 x2
Co1 0.000 0.000 0.000 x1
Hg1 0.000 0.000 0.500 x1
Au1 0.500 0.500 0.500 x1

=====

No. 6
# La4CoHgAu

A relaxed La4CoHgAu crystal (PBE, Alexandria via LeMat-Bulk).

Output
**Volume**: 30.4 Å³/atom
**ΔE_f**: -341.5 meV per atom
**VASP energy**: -131.14 eV/cell
**Fermi-level density of states**: 1.343 states/eV per atom
**Total moment**: 0.00 μB per formula unit
**ρ**: 7.9 g/cm3

Lattice parameters (Å, degrees): 7.271 16.017 7.309 90.00 90.00 90.00
Space group Cmcm (No. 63)
Asymmetric unit:
La1 0.000 0.063 0.250 x4
La2 0.000 0.427 0.250 x4
La3 0.250 0.250 0.000 x8
Co1 0.000 0.246 0.250 x4
Hg1 0.000 0.383 0.750 x4
Au1 0.000 0.122 0.750 x4

=====

No. 7
# LiCoHg2Au

A relaxed LiCoHg2Au crystal (PBE, Alexandria via LeMat-Bulk).

Output
**Volume**: 19.9 Å³/atom
**ΔE_f**: 661.6 meV per atom
**VASP energy**: -9.59 eV/cell
**Fermi-level density of states**: 0.935 states/eV per atom
**Total moment**: 1.98 μB per formula unit
**ρ**: 11.1 g/cm3

Lattice parameters (Å, degrees): 4.697 4.697 4.504 90.00 90.00 90.00
Space group P4/mmm (No. 123)
Asymmetric unit:
Li1 0.000 0.000 0.000 x1
Co1 0.500 0.500 0.500 x1
Hg1 0.000 0.500 0.000 x2
Au1 0.000 0.000 0.500 x1

=====

No. 8
# MgCoHg2Au

A relaxed MgCoHg2Au crystal (PBE, Alexandria via LeMat-Bulk).

Output
**Volume**: 28.0 Å³/atom
**ΔE_f**: 753.5 meV per atom
**VASP energy**: -8.81 eV/cell
**Fermi-level density of states**: 1.135 states/eV per atom
**Total moment**: 2.24 μB per formula unit
**ρ**: 8.1 g/cm3

Lattice parameters (Å, degrees): 5.270 5.270 5.049 90.00 90.00 90.00
Space group P4/mmm (No. 123)
Asymmetric unit:
Mg1 0.000 0.000 0.000 x1
Co1 0.500 0.500 0.000 x1
Hg1 0.000 0.500 0.500 x2
Au1 0.000 0.000 0.500 x1